Density functional theory data (PBE-GGA) for a relaxed ScZn2CuAu2 crystal.

Lattice parameters (Å, degrees): 4.4801 4.4801 5.8001 90.00 90.00 120.00
With the nearest neighbours (Å) after each atom.
Fractional coordinates of all 6 atoms:
Sc 0.0000 0.0000 0.0000  2 Cu 2.90, 6 Au 2.95, 6 Zn 3.08
Zn 0.3333 0.6667 0.7107  4 Au 2.60-2.70, 3 Cu 2.86
Zn 0.6667 0.3333 0.2893  4 Au 2.60-2.70, 3 Cu 2.86
Cu 0.0000 0.0000 0.5000  6 Zn 2.86, 2 Sc 2.90, 6 Au 2.98
Au 0.3333 0.6667 0.2457  4 Zn 2.60-2.70
Au 0.6667 0.3333 0.7543  4 Zn 2.60-2.70

Summary:
DFT formation energy = -0.385 eV/atom
SG = P-3m1, No. 164